1.
This record from Alexandria via LeMat-Bulk describes TlRePbO2 at its PBEsol-relaxed geometry. The functional is SCAN.

abc: 3.952 3.952 5.705
angles: 90.00 90.00 90.00
Positions (direct):
Tl (0.000, 0.000, 0.500)
Pb (0.500, 0.500, 0.500)
O (0.000, 0.500, 0.000)
O (0.500, 0.000, 0.000)
Re (0.000, 0.000, 0.000)

Electronic total energy, eV for the cell shown: -233.529
Spin magnetization, μB per atom: 0.00
Space group: No. 123
Formation energy (no corrections), eV/f.u.: -1.8

2.
This record from Alexandria via LeMat-Bulk describes Mg2FeSb2 at its PBEsol-relaxed geometry. The functional is SCAN.

abc: 4.901 6.525 6.525
angles: 90.00 90.00 90.00
Last column: magnetic moment on the atom in μB.
Positions (direct):
Sb (0.000, 0.655, 0.155)  -0.04
Sb (0.000, 0.155, 0.345)  -0.04
Sb (0.000, 0.845, 0.655)  -0.04
Sb (0.000, 0.345, 0.845)  -0.04
Mg (0.500, 0.827, 0.327)  -0.02
Mg (0.500, 0.327, 0.173)  -0.02
Mg (0.500, 0.173, 0.673)  -0.02
Mg (0.500, 0.673, 0.827)  -0.02
Fe (0.000, 0.000, 0.000)  2.05
Fe (0.000, 0.500, 0.500)  2.05

Electronic total energy, eV for the cell shown: -204.342
Spin magnetization, μB per atom: 0.33
Space group: No. 127
Formation energy (no corrections), eV/f.u.: 0.4

3.
This record from Alexandria via LeMat-Bulk describes YZnFe2Te at its PBEsol-relaxed geometry. The functional is SCAN.

abc: 4.469 4.469 5.232
angles: 90.00 90.00 90.00
Last column: magnetic moment on the atom in μB.
Positions (direct):
Te (0.500, 0.500, 0.500)  0.06
Fe (0.500, 0.000, 0.000)  3.08
Fe (0.000, 0.500, 0.000)  3.08
Zn (0.000, 0.000, 0.000)  -0.09
Y (0.000, 0.000, 0.500)  -0.23

Electronic total energy, eV for the cell shown: -113.187
Spin magnetization, μB per atom: 1.18
Space group: No. 123
Formation energy (no corrections), eV/f.u.: 1.7

4.
This record from Alexandria via LeMat-Bulk describes LiSc2Ag at its PBEsol-relaxed geometry. The functional is SCAN.

abc: 3.143 4.601 5.670
angles: 90.00 106.10 90.00
Positions (direct):
Sc (0.714, 0.500, 0.302)
Sc (0.035, 0.000, 0.946)
Li (0.444, 0.500, 0.764)
Ag (0.307, 0.000, 0.488)

Electronic total energy, eV for the cell shown: -62.438
Spin magnetization, μB per atom: 0.00
Space group: No. 38

5.
This record from Alexandria via LeMat-Bulk describes SrTl2Au at its PBEsol-relaxed geometry. The functional is SCAN.

abc: 5.197 5.280 5.197
angles: 119.48 90.00 119.48
Positions (direct):
Tl (0.000, 0.000, 0.000)
Tl (0.750, 0.500, 0.250)
Au (0.500, 0.000, 0.500)
Sr (0.250, 0.500, 0.750)

Electronic total energy, eV for the cell shown: -237.812
Spin magnetization, μB per atom: 0.00
Space group: No. 119

6.
This record from Alexandria via LeMat-Bulk describes LaAs2Rh at its PBEsol-relaxed geometry. The functional is SCAN.

abc: 4.091 4.523 4.601
angles: 104.51 90.00 90.00
Positions (direct):
As (0.000, 0.669, 0.778)
As (0.000, 0.331, 0.222)
La (0.500, 0.000, 0.500)
Rh (0.500, 0.500, 0.000)

Electronic total energy, eV for the cell shown: -121.721
Spin magnetization, μB per atom: 0.00
Space group: No. 10

7.
This record from Alexandria via LeMat-Bulk describes ZrTcN2F at its PBEsol-relaxed geometry. The functional is SCAN.

abc: 3.875 3.875 3.852
angles: 90.00 90.00 90.00
Positions (direct):
F (0.000, 0.000, 0.500)
Zr (0.500, 0.500, 0.500)
Tc (0.000, 0.000, 0.000)
N (0.000, 0.500, 0.000)
N (0.500, 0.000, 0.000)

Electronic total energy, eV for the cell shown: -90.385
Spin magnetization, μB per atom: 0.00
Space group: No. 123
Formation energy (no corrections), eV/f.u.: -2.5

8.
This record from Alexandria via LeMat-Bulk describes BeRu2Rh at its PBEsol-relaxed geometry. The functional is SCAN.

abc: 2.735 4.281 4.281
angles: 90.00 90.00 90.00
Positions (direct):
Ru (0.000, 0.500, 0.000)
Ru (0.000, 0.000, 0.500)
Be (0.500, 0.500, 0.500)
Rh (0.500, 0.000, 0.000)

Electronic total energy, eV for the cell shown: -107.009
Spin magnetization, μB per atom: 0.00
Space group: No. 123

Which value of spin magnetization does entry 6 give?
0.00 μB per atom

spin magnetization of number 7 (ZrTcN2F)?
0.00 μB per atom

The lowest electronic total energy belongs to which entry?
SrTl2Au

Number 2 is which compound?
Mg2FeSb2